(1)
Cs2DyB2Se6 | PBE-GGA | optimized geometry

Summary:
ΔE_f (raw) (kJ/mol of atoms): -75.2

Geometry as POSCAR:
```
Cs2DyB2Se6
1.0
6.180 -3.565 0.000
6.180 3.565 0.000
-4.101 0.000 8.237
Cs Dy B Se
2 1 2 6
direct
0.212 0.212 0.136
0.788 0.788 0.864
0.000 0.000 0.500
0.403 0.403 0.707
0.597 0.597 0.293
0.251 0.251 0.726
0.251 0.725 0.728
0.275 0.749 0.272
0.725 0.251 0.728
0.749 0.275 0.272
0.749 0.749 0.274
```

(2)
CsDyBSe4 | PBE-GGA | optimized geometry

Summary:
ΔE_f (raw) (kJ/mol of atoms): -97.5

Geometry as POSCAR:
```
CsDyBSe4
1.0
6.904 0.000 0.000
0.000 5.889 0.000
-2.250 0.000 9.853
Cs Dy B Se
2 2 2 8
direct
0.246 0.250 0.463
0.754 0.750 0.537
0.254 0.250 0.953
0.746 0.750 0.047
0.244 0.750 0.158
0.756 0.250 0.842
0.058 0.750 0.287
0.115 0.750 0.954
0.478 0.503 0.197
0.478 0.997 0.197
0.522 0.003 0.803
0.522 0.497 0.803
0.885 0.250 0.046
0.942 0.250 0.713
```

(3)
Cs2DyBSe4 | PBE-GGA | optimized geometry

Summary:
ΔE_f (raw) (kJ/mol of atoms): -99.9

Geometry as POSCAR:
```
Cs2DyBSe4
1.0
0.000 7.639 13.110
3.038 0.000 13.110
3.038 7.639 0.000
Cs Dy B Se
4 2 2 8
direct
0.053 0.053 0.697
0.303 0.303 0.947
0.697 0.697 0.053
0.947 0.947 0.303
0.125 0.125 0.125
0.875 0.875 0.875
0.375 0.375 0.375
0.625 0.625 0.625
0.059 0.592 0.521
0.328 0.521 0.592
0.408 0.941 0.672
0.479 0.672 0.941
0.521 0.328 0.059
0.592 0.059 0.328
0.672 0.479 0.408
0.941 0.408 0.479
```

(4)
CsErB2H8 | PBE-GGA | optimized geometry

Geometry as POSCAR:
```
CsErB2H8
1.0
2.044 1.180 8.602
-2.044 1.180 8.602
0.000 -2.360 8.602
Cs Er B H
1 1 2 8
direct
0.000 0.000 0.000
0.500 0.500 0.500
0.230 0.230 0.230
0.770 0.770 0.770
0.047 0.047 0.546
0.047 0.546 0.047
0.278 0.278 0.278
0.454 0.953 0.953
0.546 0.047 0.047
0.722 0.722 0.722
0.953 0.454 0.953
0.953 0.953 0.454
```

(5)
Cs2ErBO4 | PBE-GGA | optimized geometry

Summary:
ΔE_f (raw) (kJ/mol of atoms): -206.9

Geometry as POSCAR:
```
Cs2ErBO4
1.0
0.000 6.039 12.001
2.539 0.000 12.001
2.539 6.039 0.000
Cs Er B O
4 2 2 8
direct
0.052 0.052 0.698
0.302 0.302 0.948
0.698 0.698 0.052
0.948 0.948 0.302
0.125 0.125 0.125
0.875 0.875 0.875
0.375 0.375 0.375
0.625 0.625 0.625
0.091 0.585 0.508
0.316 0.508 0.585
0.415 0.909 0.684
0.492 0.684 0.909
0.508 0.316 0.091
0.585 0.091 0.316
0.684 0.492 0.415
0.909 0.415 0.492
```

(6)
CsEr2B2S6 | PBE-GGA | optimized geometry

Summary:
ΔE_f (raw) (kJ/mol of atoms): -105.4

Geometry as POSCAR:
```
CsEr2B2S6
1.0
6.436 -3.539 0.000
6.436 3.539 0.000
-3.684 0.000 6.312
Cs Er B S
1 2 2 6
direct
0.000 0.000 0.000
0.329 0.329 0.674
0.671 0.671 0.326
0.352 0.352 0.266
0.648 0.648 0.734
0.104 0.542 0.364
0.428 0.428 0.110
0.458 0.896 0.636
0.542 0.104 0.364
0.572 0.572 0.890
0.896 0.458 0.636
```

no.,spin magnetization (μB per atom),E (eV/atom)
1,0.000,-4.468
2,0.000,-4.735
3,0.000,-4.401
4,0.000,-4.041
5,0.000,-6.242
6,0.000,-5.465